Entry 1:
# Ti2Al5V4

A relaxed Ti2Al5V4 crystal (PBE, Alexandria via LeMat-Bulk).

a b c (Å): 6.087 6.087 7.474
angles (deg): 121.75 121.75 50.70
Fractional coordinates of all 11 atoms:
Ti  0.230  0.230  0.247
Ti  0.770  0.770  0.753
Al  0.250  0.747  0.313
Al  0.253  0.750  0.687
Al  0.500  0.500  0.000
Al  0.747  0.250  0.313
Al  0.750  0.253  0.687
V  0.250  0.250  0.610
V  0.255  0.255  0.941
V  0.745  0.745  0.059
V  0.750  0.750  0.390

## Properties
- formation energy from the elements (meV per atom) = -10
- crystal system = monoclinic
- V (A^3/atom) = 15.84

***

Entry 2:
# Ti3Al2V4

A relaxed Ti3Al2V4 crystal (PBE, Alexandria via LeMat-Bulk).

a b c (Å): 4.413 4.413 8.015
angles (deg): 92.90 92.90 61.11
Fractional coordinates of all 9 atoms:
Ti  0.000  0.000  0.000
Ti  0.336  0.336  0.571
Ti  0.664  0.664  0.429
Al  0.321  0.321  0.225
Al  0.679  0.679  0.775
V  0.004  0.004  0.648
V  0.357  0.357  0.903
V  0.643  0.643  0.097
V  0.996  0.996  0.352

## Properties
- formation energy from the elements (meV per atom) = -37
- crystal system = monoclinic
- V (A^3/atom) = 15.16

***

Entry 3:
# TiAl5V2

A relaxed TiAl5V2 crystal (PBE, Alexandria via LeMat-Bulk).

a b c (Å): 7.003 7.003 7.003
angles (deg): 119.76 119.76 90.42
Fractional coordinates of all 16 atoms:
Ti  0.250  0.250  0.000
Ti  0.750  0.750  0.000
Al  0.000  0.000  0.000
Al  0.020  0.520  0.209
Al  0.189  0.980  0.500
Al  0.311  0.811  0.791
Al  0.480  0.689  0.500
Al  0.500  0.500  0.000
Al  0.520  0.311  0.500
Al  0.689  0.189  0.209
Al  0.811  0.020  0.500
Al  0.980  0.480  0.791
V  0.155  0.345  0.500
V  0.345  0.845  0.190
V  0.655  0.155  0.810
V  0.845  0.655  0.500

## Properties
- formation energy from the elements (meV per atom) = -93
- crystal system = tetragonal
- V (A^3/atom) = 15.23

***

Entry 4:
# Ti3AlV

A relaxed Ti3AlV crystal (PBE, Alexandria via LeMat-Bulk).

a b c (Å): 4.693 4.693 4.693
angles (deg): 90.00 90.00 90.00
Fractional coordinates of all 5 atoms:
Ti  0.000  0.000  0.500
Ti  0.000  0.500  0.000
Ti  0.500  0.000  0.000
Al  0.000  0.000  0.000
V  0.500  0.500  0.500

## Properties
- formation energy from the elements (meV per atom) = 1036
- crystal system = cubic
- V (A^3/atom) = 20.67

***

Copy entry 4 word for word.
# Ti3AlV

A relaxed Ti3AlV crystal (PBE, Alexandria via LeMat-Bulk).

a b c (Å): 4.693 4.693 4.693
angles (deg): 90.00 90.00 90.00
Fractional coordinates of all 5 atoms:
Ti  0.000  0.000  0.500
Ti  0.000  0.500  0.000
Ti  0.500  0.000  0.000
Al  0.000  0.000  0.000
V  0.500  0.500  0.500

## Properties
- formation energy from the elements (meV per atom) = 1036
- crystal system = cubic
- V (A^3/atom) = 20.67